# Sr2ReCl

An optimized crystal structure of Sr2ReCl (GGA-PBEsol, Alexandria).

Calculated values
magnetization = 2.02 μB/f.u.
relative energy among the computed polymorphs = 0.147 eV per atom
E_form (uncorrected) = 0.20 eV/atom

The structure in POSCAR format:
```
Sr2ReCl
1.0
4.299 0.000 0.000
0.000 4.299 0.000
0.000 0.000 6.005
Sr Cl Re
2 1 1
Direct
0.000 0.000 0.500
0.500 0.500 0.000
0.000 0.000 0.000
0.500 0.500 0.500
```

=====

# SrReCl2

An optimized crystal structure of SrReCl2 (GGA-PBEsol, Alexandria).

Calculated values
magnetization = 0.00 μB/f.u.
E_form (uncorrected) = 0.17 eV/atom

The structure in POSCAR format:
```
SrReCl2
1.0
-3.768 0.118 -1.062
-2.508 -2.676 1.376
-3.585 3.520 5.887
Cl Re Sr
2 1 1
Direct
0.875 0.875 0.375
0.125 0.125 0.625
0.500 0.500 0.500
0.000 0.000 0.000
```

=====

# Sr2ReCl

An optimized crystal structure of Sr2ReCl (GGA-PBEsol, Alexandria).

Calculated values
magnetization = 0.00 μB/f.u.
relative energy among the computed polymorphs = 0.231 eV per atom
E_form (uncorrected) = 0.28 eV/atom

The structure in POSCAR format:
```
Sr2ReCl
1.0
3.122 0.000 0.000
0.000 5.316 0.000
-1.561 -2.658 5.669
Cl Sr Re
1 2 1
Direct
0.525 0.525 0.051
0.974 0.974 0.948
0.784 0.284 0.569
0.216 0.716 0.432
```

=====

no.,raw total energy (eV per atom)
1,-4.557
2,-4.622
3,-4.474